A) ## ZrIn2Br (PBE-GGA)

Data for a relaxed ZrIn2Br crystal.

The structure in CIF format:
```
data_ZrIn2Br
_chemical_formula_sum 'Zr1 In2 Br1'
_space_group_name_H-M_alt 'P 1'
_space_group_IT_number 1
_cell_length_a 6.4445
_cell_length_b 6.4445
_cell_length_c 6.4445
_cell_angle_alpha 150.69
_cell_angle_beta 128.10
_cell_angle_gamma 60.72
loop_
_space_group_symop_operation_xyz
'x,y,z'
loop_
_atom_site_label
_atom_site_fract_x
_atom_site_fract_y
_atom_site_fract_z
_atom_site_occupancy
In1 0.9995 0.9995 0.0000 1
In2 0.7260 0.2260 0.5000 1
Br1 0.2895 0.7895 0.5000 1
Zr1 0.4850 0.4850 0.0000 1
```

***

B) ## ZrIn2Br (PBE-GGA)

Data for a relaxed ZrIn2Br crystal.

The structure in CIF format:
```
data_ZrIn2Br
_chemical_formula_sum 'Zr1 In2 Br1'
_space_group_name_H-M_alt 'P 1'
_space_group_IT_number 1
_cell_length_a 7.3719
_cell_length_b 5.5715
_cell_length_c 3.2712
_cell_angle_alpha 90.01
_cell_angle_beta 63.64
_cell_angle_gamma 122.09
loop_
_space_group_symop_operation_xyz
'x,y,z'
loop_
_atom_site_label
_atom_site_fract_x
_atom_site_fract_y
_atom_site_fract_z
_atom_site_occupancy
In1 0.0000 0.0000 0.0000 1
In2 0.5000 0.0000 0.5000 1
Br1 0.5000 0.5000 0.0000 1
Zr1 0.0000 0.5000 0.5000 1
```

***

Q: Which of them is the most stable? A: A).

***

A) ## ZrIn2Br (PBE-GGA)

Data for a relaxed ZrIn2Br crystal.

The structure in CIF format:
```
data_ZrIn2Br
_chemical_formula_sum 'Zr1 In2 Br1'
_space_group_name_H-M_alt 'P 1'
_space_group_IT_number 1
_cell_length_a 3.4349
_cell_length_b 3.4349
_cell_length_c 9.6418
_cell_angle_alpha 90.00
_cell_angle_beta 90.00
_cell_angle_gamma 117.14
loop_
_space_group_symop_operation_xyz
'x,y,z'
loop_
_atom_site_label
_atom_site_fract_x
_atom_site_fract_y
_atom_site_fract_z
_atom_site_occupancy
Br1 0.5000 0.5000 0.7500 1
Zr1 0.5000 0.5000 0.2500 1
In1 0.0000 0.0000 0.0027 1
In2 0.0000 0.0000 0.4973 1
```

***

B) ## ZrIn2Br (PBE-GGA)

Data for a relaxed ZrIn2Br crystal.

The structure in CIF format:
```
data_ZrIn2Br
_chemical_formula_sum 'Zr2 In4 Br2'
_space_group_name_H-M_alt 'P 1'
_space_group_IT_number 1
_cell_length_a 9.6039
_cell_length_b 9.6039
_cell_length_c 7.2924
_cell_angle_alpha 48.82
_cell_angle_beta 48.82
_cell_angle_gamma 90.00
loop_
_space_group_symop_operation_xyz
'x,y,z'
loop_
_atom_site_label
_atom_site_fract_x
_atom_site_fract_y
_atom_site_fract_z
_atom_site_occupancy
In1 0.0498 0.6250 0.2500 1
In2 0.3750 0.2998 0.7500 1
In3 0.7002 0.1250 0.2500 1
In4 0.8750 0.9502 0.7500 1
Br1 0.2500 0.7500 0.5000 1
Br2 0.5000 0.5000 0.0000 1
Zr1 0.0000 0.0000 0.0000 1
Zr2 0.7500 0.2500 0.5000 1
```

***

C) ## ZrIn2Br (PBE-GGA)

Data for a relaxed ZrIn2Br crystal.

The structure in CIF format:
```
data_ZrIn2Br
_chemical_formula_sum 'Zr1 In2 Br1'
_space_group_name_H-M_alt 'P 1'
_space_group_IT_number 1
_cell_length_a 5.2936
_cell_length_b 5.2936
_cell_length_c 5.2936
_cell_angle_alpha 60.00
_cell_angle_beta 60.00
_cell_angle_gamma 60.00
loop_
_space_group_symop_operation_xyz
'x,y,z'
loop_
_atom_site_label
_atom_site_fract_x
_atom_site_fract_y
_atom_site_fract_z
_atom_site_occupancy
In1 0.7500 0.7500 0.7500 1
In2 0.2500 0.2500 0.2500 1
Br1 0.0000 0.0000 0.0000 1
Zr1 0.5000 0.5000 0.5000 1
```

***

Q: Which of them is the most stable? A: A).

***

A) ## IrBr3 (PBE-GGA)

Data for a relaxed IrBr3 crystal.

The structure in CIF format:
```
data_IrBr3
_chemical_formula_sum 'Ir1 Br3'
_space_group_name_H-M_alt 'P 1'
_space_group_IT_number 1
_cell_length_a 7.6829
_cell_length_b 7.6829
_cell_length_c 7.6829
_cell_angle_alpha 28.77
_cell_angle_beta 28.77
_cell_angle_gamma 28.77
loop_
_space_group_symop_operation_xyz
'x,y,z'
loop_
_atom_site_label
_atom_site_fract_x
_atom_site_fract_y
_atom_site_fract_z
_atom_site_occupancy
Ir1 0.0000 0.0000 0.0000 1
Br1 0.5000 0.5000 0.5000 1
Br2 0.2740 0.2740 0.2740 1
Br3 0.7260 0.7260 0.7260 1
```

***

B) ## IrBr3 (PBE-GGA)

Data for a relaxed IrBr3 crystal.

The structure in CIF format:
```
data_IrBr3
_chemical_formula_sum 'Ir4 Br12'
_space_group_name_H-M_alt 'P 1'
_space_group_IT_number 1
_cell_length_a 6.2551
_cell_length_b 6.5400
_cell_length_c 11.8100
_cell_angle_alpha 90.00
_cell_angle_beta 90.00
_cell_angle_gamma 90.00
loop_
_space_group_symop_operation_xyz
'x,y,z'
loop_
_atom_site_label
_atom_site_fract_x
_atom_site_fract_y
_atom_site_fract_z
_atom_site_occupancy
Br1 0.6513 0.1974 0.8865 1
Br2 0.1513 0.3026 0.3865 1
Br3 0.1443 0.1185 0.7500 1
Br4 0.8487 0.6974 0.8865 1
Br5 0.8487 0.6974 0.6135 1
Br6 0.6443 0.3815 0.2500 1
Br7 0.3487 0.8026 0.1135 1
Br8 0.3557 0.6185 0.7500 1
Br9 0.3487 0.8026 0.3865 1
Br10 0.1513 0.3026 0.1135 1
Br11 0.8557 0.8815 0.2500 1
Br12 0.6513 0.1974 0.6135 1
Ir1 0.0001 0.4620 0.7500 1
Ir2 0.4999 0.9620 0.7500 1
Ir3 0.9999 0.5380 0.2500 1
Ir4 0.5001 0.0380 0.2500 1
```

***

C) ## IrBr3 (PBE-GGA)

Data for a relaxed IrBr3 crystal.

The structure in CIF format:
```
data_IrBr3
_chemical_formula_sum 'Ir1 Br3'
_space_group_name_H-M_alt 'P 1'
_space_group_IT_number 1
_cell_length_a 6.3569
_cell_length_b 6.3569
_cell_length_c 6.3569
_cell_angle_alpha 147.23
_cell_angle_beta 119.38
_cell_angle_gamma 70.64
loop_
_space_group_symop_operation_xyz
'x,y,z'
loop_
_atom_site_label
_atom_site_fract_x
_atom_site_fract_y
_atom_site_fract_z
_atom_site_occupancy
Br1 0.7500 0.2500 0.5000 1
Br2 0.4111 0.4111 0.0000 1
Br3 0.0889 0.0889 0.0000 1
Ir1 0.2500 0.7500 0.5000 1
```

***

Q: Which of them is the most stable? A: A).